one:
Below is a geometry-optimized Ta2TlRe structure, with properties calculated at the PBE-GGA level.

Calculated values
Symmetry: Cm
M_tot in μB/cell: 0.0

Cell lengths 5.512, 5.512, 4.679 Å; angles 114.52, 114.52, 34.95 degrees
Atoms (fractional coordinates):
Ta: 0.000 0.000 0.000
Ta: 0.248 0.248 0.750
Tl: 0.770 0.770 0.272
Re: 0.527 0.527 0.525



two:
Below is a geometry-optimized Ta2TlRe structure, with properties calculated at the PBE-GGA level.

Calculated values
Symmetry: I-4m2
M_tot in μB/cell: 0.0

Cell lengths 5.253, 5.253, 5.253 Å; angles 134.52, 134.52, 66.27 degrees
Atoms (fractional coordinates):
Ta: 0.000 0.000 0.000
Ta: 0.750 0.250 0.500
Tl: 0.250 0.750 0.500
Re: 0.500 0.500 0.000



Relative stability in meV per atom, measured from the most stable structure: one 0; two 120



one:
Below is a geometry-optimized BPb2N structure, with properties calculated at the PBE-GGA level.

Calculated values
Symmetry: Fm-3m
M_tot in μB/cell: 0.0

Cell lengths 4.660, 4.660, 4.660 Å; angles 60.00, 60.00, 60.00 degrees
Atoms (fractional coordinates):
B: 0.000 0.000 0.000
Pb: 0.250 0.250 0.250
Pb: 0.750 0.750 0.750
N: 0.500 0.500 0.500



two:
Below is a geometry-optimized BPb2N structure, with properties calculated at the PBE-GGA level.

Calculated values
Symmetry: I-42d
M_tot in μB/cell: 0.0

Cell lengths 6.671, 6.671, 6.671 Å; angles 132.45, 132.45, 69.52 degrees
Atoms (fractional coordinates):
B: 0.000 0.000 0.000
B: 0.750 0.250 0.500
Pb: 0.125 0.625 0.000
Pb: 0.375 0.375 0.500
Pb: 0.625 0.125 0.000
Pb: 0.875 0.875 0.500
N: 0.250 0.750 0.500
N: 0.500 0.500 0.000



Relative stability in meV per atom, measured from the most stable structure: one 731; two 0